1.
First-principles (PBE) data for a relaxed structure of PmPaCd, as listed in OQMD.

The structure belongs to space group F-43m (No. 216); the cell edges are 7.0496, 7.0496 and 7.0496 Å and the angles 90.00°, 90.00° and 90.00°. The asymmetric unit holds Pm at (0.0000, 0.0000, 0.0000), Pa at (0.2500, 0.2500, 0.2500) and Cd at (0.2500, 0.2500, 0.7500).

The calculation puts the formation energy at 868 meV/atom. The energy relative to the lowest polymorph listed for this composition comes out at 0.000 eV/atom. Its total magnetization is 6.65 μB/cell.

2.
First-principles (PBE) data for a relaxed structure of Li4TlZn2Ga, as listed in OQMD.

The structure belongs to space group P-4m2 (No. 115); the cell edges are 4.4281, 4.4281 and 6.4401 Å and the angles 90.00°, 90.00° and 90.00°. The asymmetric unit holds Li at (0.0000, 0.0000, 0.0000), Li at (0.0000, 0.5000, 0.2323), Li at (0.5000, 0.5000, 0.5000), Tl at (0.0000, 0.0000, 0.5000), Zn at (0.0000, 0.5000, 0.7743) and Ga at (0.5000, 0.5000, 0.0000).

3.
First-principles (PBE) data for a relaxed structure of Nb2FeHg, as listed in OQMD.

The structure belongs to space group F-43m (No. 216); the cell edges are 6.4548, 6.4548 and 6.4548 Å and the angles 90.00°, 90.00° and 90.00°. The asymmetric unit holds Nb at (0.0000, 0.0000, 0.0000), Nb at (0.2500, 0.2500, 0.2500), Fe at (0.0000, 0.0000, 0.5000) and Hg at (0.2500, 0.2500, 0.7500).

The calculation puts the formation energy at 441 meV/atom. Its total magnetization is 7.95 μB/cell.

4.
First-principles (PBE) data for a relaxed structure of NdTmCo2Si4, as listed in OQMD.

The structure belongs to space group Amm2 (No. 38); the cell edges are 3.9885, 4.0629 and 16.3104 Å and the angles 90.00°, 90.00° and 90.00°. The asymmetric unit holds Nd at (0.0000, 0.0000, 0.0000), Tm at (0.5000, 0.0000, 0.7846), Co at (0.0000, 0.0000, 0.2150), Co at (0.5000, 0.0000, 0.5739), Si at (0.0000, 0.0000, 0.3490), Si at (0.0000, 0.0000, 0.6461), Si at (0.5000, 0.0000, 0.1456) and Si at (0.5000, 0.0000, 0.4343).

Its total magnetization is 0.00 μB/cell.

5.
First-principles (PBE) data for a relaxed structure of HfTc2Sn2, as listed in OQMD.

The structure belongs to space group I4/mmm (No. 139); the cell edges are 4.5258, 4.5258 and 10.1935 Å and the angles 90.00°, 90.00° and 90.00°. The asymmetric unit holds Hf at (0.0000, 0.0000, 0.0000), Tc at (0.0000, 0.0000, 0.3914) and Sn at (0.0000, 0.5000, 0.2500).

The energy relative to the lowest polymorph listed for this composition comes out at 0.000 eV/atom. Its total magnetization is 0.03 μB/cell.

6.
First-principles (PBE) data for a relaxed structure of Li2Cd3InAu2, as listed in OQMD.

The structure belongs to space group P-4m2 (No. 115); the cell edges are 4.7057, 4.7057 and 6.6605 Å and the angles 90.00°, 90.00° and 90.00°. The asymmetric unit holds Li at (0.0000, 0.5000, 0.2476), Cd at (0.0000, 0.0000, 0.0000), Cd at (0.5000, 0.5000, 0.0000), Cd at (0.5000, 0.5000, 0.5000), In at (0.0000, 0.0000, 0.5000) and Au at (0.0000, 0.5000, 0.7484).

7.
First-principles (PBE) data for a relaxed structure of PrNiPd, as listed in OQMD.

The structure belongs to space group F-43m (No. 216); the cell edges are 6.3604, 6.3604 and 6.3604 Å and the angles 90.00°, 90.00° and 90.00°. The asymmetric unit holds Pr at (0.0000, 0.0000, 0.0000), Ni at (0.2500, 0.2500, 0.7500) and Pd at (0.0000, 0.0000, 0.5000).

The calculation puts the formation energy at -295 meV/atom. Its total magnetization is 0.03 μB/cell.

8.
First-principles (PBE) data for a relaxed structure of CsCuTeIrSe2, as listed in OQMD.

The structure belongs to space group Cmcm (No. 63); the cell edges are 3.8682, 16.6681 and 10.1981 Å and the angles 90.00°, 90.00° and 90.00°. The asymmetric unit holds Cs at (0.0000, 0.2321, 0.2500), Cu at (0.0000, 0.4587, 0.7500), Te at (0.0000, 0.0637, 0.7500), Ir at (0.0000, 0.0000, 0.0000) and Se at (0.0000, 0.4020, 0.5362).

Its total magnetization is 0.02 μB/cell.

Number 1: raw total energy -4.18 eV/atom. Number 2: raw total energy -2.20 eV/atom. Number 3: raw total energy -6.76 eV/atom. Number 4: raw total energy -6.40 eV/atom. Number 5: raw total energy -7.40 eV/atom. Number 6: raw total energy -2.31 eV/atom. Number 7: raw total energy -5.47 eV/atom. Number 8: raw total energy -4.32 eV/atom.